A relaxed structure of NdVH3, computed with PBE.

```
NdVH3
1.0
-3.462 1.224 -0.588
-0.256 -2.170 -3.009
-1.334 -2.761 2.105
H Nd V
3 1 1
direct
0.000 0.500 0.000 H
0.000 0.000 0.500 H
0.500 0.000 0.000 H
0.500 0.500 0.500 Nd
0.000 0.000 0.000 V
```

Properties
uncorrected energy = -5.05 eV/atom
SG = No. 221

---

A relaxed structure of V4GaRe, computed with PBE.

```
V4GaRe
1.0
-2.990 -0.040 -0.730
0.318 -2.840 -1.145
-1.865 -3.365 7.830
V Ga Re
4 1 1
direct
0.500 0.500 0.167 V
0.500 0.500 0.833 V
0.000 0.000 0.672 V
0.000 0.000 0.328 V
0.000 0.000 0.000 Ga
0.500 0.500 0.500 Re
```

Properties
SG = No. 123
energy relative to the elements = -0.22 eV/atom

---

A relaxed structure of RePbO3, computed with PBE.

```
RePbO3
1.0
-1.306 -1.700 3.364
3.614 0.447 1.628
-1.071 3.581 1.394
Pb Re O
1 1 3
direct
0.500 0.500 0.500 Pb
0.000 0.000 0.000 Re
0.000 0.500 0.000 O
0.000 0.000 0.500 O
0.500 0.000 0.000 O
```

Properties
ΔE_f (raw) = -1114 meV/atom
SG = No. 221

---

| no. | density of states at the Fermi level (states/eV per cell) | spin magnetization (μB/cell) | mass density (g/cm3) |
| --- | --- | --- | --- |
| 1 | 2.54 | 0.0 | 6.4 |
| 2 | 4.56 | 0.0 | 9.2 |
| 3 | 3.32 | 0.0 | 11.6 |